# 1
This record from Alexandria via LeMat-Bulk describes a relaxed structure of CuB2Ir. The functional is PBE.

Cell and atoms, written as POSCAR:
```
CuB2Ir
1.0
0.000 2.695 2.695
2.695 0.000 2.695
2.695 2.695 0.000
Cu B Ir
1 2 1
Cartesian
0.000 0.000 0.000
1.347 1.347 1.347
4.042 4.042 4.042
2.695 2.695 2.695
```

Properties
electronic total energy: -6.05 eV/atom
D(E_F): 2.443 states/eV/f.u.
formation enthalpy at 0 K: 0.5266 eV per atom

# 2
This record from Alexandria via LeMat-Bulk describes a relaxed structure of Cu3BIr. The functional is PBE.

Cell and atoms, written as POSCAR:
```
Cu3BIr
1.0
4.652 0.000 0.000
0.000 4.652 0.000
0.000 0.000 4.652
Cu B Ir
3 1 1
Cartesian
0.000 0.000 2.326
0.000 2.326 0.000
2.326 0.000 0.000
2.326 2.326 2.326
0.000 0.000 0.000
```

Properties
electronic total energy: -3.63 eV/atom
D(E_F): 6.593 states/eV/f.u.
formation enthalpy at 0 K: 1.9316 eV per atom

# 3
This record from Alexandria via LeMat-Bulk describes a relaxed structure of MgCu2BIr. The functional is PBE.

Cell and atoms, written as POSCAR:
```
MgCu2BIr
1.0
4.020 0.000 0.000
0.000 4.020 0.000
0.000 0.000 4.091
Mg Cu B Ir
1 2 1 1
Cartesian
0.000 0.000 0.000
0.000 2.010 2.045
2.010 0.000 2.045
2.010 2.010 2.045
2.010 2.010 0.000
```

Properties
electronic total energy: -5.19 eV/atom
D(E_F): 2.188 states/eV/f.u.
formation enthalpy at 0 K: -0.1206 eV per atom

# 4
This record from Alexandria via LeMat-Bulk describes a relaxed structure of Mg3Cu2BIr3. The functional is PBE.

Cell and atoms, written as POSCAR:
```
Mg3Cu2BIr3
1.0
6.909 0.000 0.000
-3.455 5.984 0.000
0.000 0.000 2.968
Mg Cu B Ir
3 2 1 3
Cartesian
-2.103 3.642 0.000
1.352 2.342 0.000
4.205 0.000 0.000
0.000 3.989 1.484
3.455 1.995 1.484
0.000 0.000 0.000
-0.838 1.451 1.484
1.676 0.000 1.484
2.617 4.532 1.484
```

Properties
electronic total energy: -5.47 eV/atom
D(E_F): 4.919 states/eV/f.u.
formation enthalpy at 0 K: -0.3341 eV per atom

# 5
This record from Alexandria via LeMat-Bulk describes a relaxed structure of Pa2CuB2Ir5. The functional is PBE.

Cell and atoms, written as POSCAR:
```
Pa2CuB2Ir5
1.0
9.289 0.000 0.000
0.000 9.289 0.000
0.000 0.000 3.449
Pa Cu B Ir
4 2 4 10
Cartesian
1.652 2.993 0.000
2.993 7.637 0.000
6.296 1.652 0.000
7.637 6.296 0.000
0.000 0.000 0.000
4.644 4.644 0.000
1.134 5.779 0.000
3.510 1.134 0.000
5.779 8.154 0.000
8.154 3.510 0.000
0.000 4.644 1.724
0.650 7.290 1.724
1.999 0.650 1.724
2.646 5.294 1.724
3.995 2.646 1.724
4.644 0.000 1.724
5.294 6.643 1.724
6.643 3.995 1.724
7.290 8.639 1.724
8.639 1.999 1.724
```

Properties
electronic total energy: -8.64 eV/atom
D(E_F): 4.311 states/eV/f.u.
formation enthalpy at 0 K: -0.5619 eV per atom

# 6
This record from Alexandria via LeMat-Bulk describes a relaxed structure of CuBSb2Ir. The functional is PBE.

Cell and atoms, written as POSCAR:
```
CuBSb2Ir
1.0
4.751 0.000 0.000
0.000 4.751 0.000
0.000 0.000 3.834
Cu B Sb Ir
1 1 2 1
Cartesian
0.000 0.000 0.000
0.000 0.000 1.917
0.000 2.376 1.917
2.376 0.000 1.917
2.376 2.376 0.000
```

Properties
electronic total energy: -4.86 eV/atom
D(E_F): 3.493 states/eV/f.u.

# 7
This record from Alexandria via LeMat-Bulk describes a relaxed structure of ScCuBIr2. The functional is PBE.

Cell and atoms, written as POSCAR:
```
ScCuBIr2
1.0
4.148 0.000 0.000
0.000 4.148 0.000
0.000 0.000 4.057
Sc Cu B Ir
1 1 1 2
Cartesian
0.000 0.000 0.000
2.074 2.074 0.000
2.074 2.074 2.028
0.000 2.074 2.028
2.074 0.000 2.028
```

Properties
electronic total energy: -7.49 eV/atom
D(E_F): 1.140 states/eV/f.u.
formation enthalpy at 0 K: -0.5250 eV per atom

# 8
This record from Alexandria via LeMat-Bulk describes a relaxed structure of CuBIr2Se. The functional is PBE.

Cell and atoms, written as POSCAR:
```
CuBIr2Se
1.0
4.598 0.000 0.000
0.000 4.598 0.000
0.000 0.000 4.463
Cu B Ir Se
1 1 2 1
Cartesian
0.000 0.000 0.000
2.299 2.299 0.000
0.000 2.299 2.232
2.299 0.000 2.232
0.000 0.000 2.232
```

Properties
electronic total energy: -4.56 eV/atom
D(E_F): 4.487 states/eV/f.u.

# 9
This record from Alexandria via LeMat-Bulk describes a relaxed structure of Cu2SiB2Ir5. The functional is PBE.

Cell and atoms, written as POSCAR:
```
Cu2SiB2Ir5
1.0
9.351 0.000 0.000
0.000 9.351 0.000
0.000 0.000 2.855
Cu Si B Ir
4 2 4 10
Cartesian
1.642 3.033 0.000
3.033 7.708 0.000
6.318 1.642 0.000
7.708 6.318 0.000
0.000 0.000 0.000
4.675 4.675 0.000
1.195 5.870 0.000
3.480 1.195 0.000
5.870 8.156 0.000
8.156 3.480 0.000
0.000 4.675 1.428
0.671 7.415 1.428
1.936 0.671 1.428
2.739 5.346 1.428
4.004 2.739 1.428
4.675 0.000 1.428
5.346 6.611 1.428
6.611 4.004 1.428
7.415 8.680 1.428
8.680 1.936 1.428
```

Properties
electronic total energy: -7.33 eV/atom
D(E_F): 7.658 states/eV/f.u.

# 10
This record from Alexandria via LeMat-Bulk describes a relaxed structure of Tm2CuB2Ir5. The functional is PBE.

Cell and atoms, written as POSCAR:
```
Tm2CuB2Ir5
1.0
9.522 0.000 0.000
0.000 9.522 0.000
0.000 0.000 3.124
Tm Cu B Ir
4 2 4 10
Cartesian
1.689 3.072 0.000
3.072 7.833 0.000
6.450 1.689 0.000
7.833 6.450 0.000
0.000 0.000 0.000
4.761 4.761 0.000
1.181 5.942 0.000
3.580 1.181 0.000
5.942 8.341 0.000
8.341 3.580 0.000
0.000 4.761 1.562
0.642 7.448 1.562
2.074 0.642 1.562
2.687 5.403 1.562
4.119 2.687 1.562
4.761 0.000 1.562
5.403 6.834 1.562
6.834 4.119 1.562
7.448 8.879 1.562
8.879 2.074 1.562
```

Properties
electronic total energy: -7.71 eV/atom
D(E_F): 4.657 states/eV/f.u.
formation enthalpy at 0 K: -0.6378 eV per atom

# 11
This record from Alexandria via LeMat-Bulk describes a relaxed structure of YCuBIr2. The functional is PBE.

Cell and atoms, written as POSCAR:
```
YCuBIr2
1.0
4.216 0.000 0.000
0.000 4.216 0.000
0.000 0.000 4.205
Y Cu B Ir
1 1 1 2
Cartesian
0.000 0.000 0.000
2.108 2.108 0.000
2.108 2.108 2.102
0.000 2.108 2.102
2.108 0.000 2.102
```

Properties
electronic total energy: -7.51 eV/atom
D(E_F): 0.786 states/eV/f.u.
formation enthalpy at 0 K: -0.5210 eV per atom

# 12
This record from Alexandria via LeMat-Bulk describes a relaxed structure of YCu2BIr. The functional is PBE.

Cell and atoms, written as POSCAR:
```
YCu2BIr
1.0
4.150 0.000 0.000
0.000 4.150 0.000
0.000 0.000 4.269
Y Cu B Ir
1 2 1 1
Cartesian
0.000 0.000 0.000
0.000 2.075 2.135
2.075 0.000 2.135
2.075 2.075 2.135
2.075 2.075 0.000
```

Properties
electronic total energy: -6.31 eV/atom
D(E_F): 2.094 states/eV/f.u.
formation enthalpy at 0 K: -0.2712 eV per atom

# 13
This record from Alexandria via LeMat-Bulk describes a relaxed structure of Zn2CuB2Ir5. The functional is PBE.

Cell and atoms, written as POSCAR:
```
Zn2CuB2Ir5
1.0
9.425 0.000 0.000
0.000 9.425 0.000
0.000 0.000 2.885
Zn Cu B Ir
4 2 4 10
Cartesian
1.670 3.042 0.000
3.042 7.755 0.000
6.382 1.670 0.000
7.755 6.382 0.000
0.000 0.000 0.000
4.712 4.712 0.000
1.209 5.921 0.000
3.504 1.209 0.000
5.921 8.216 0.000
8.216 3.504 0.000
0.000 4.712 1.443
0.681 7.416 1.443
2.009 0.681 1.443
2.703 5.393 1.443
4.032 2.703 1.443
4.712 0.000 1.443
5.393 6.721 1.443
6.721 4.032 1.443
7.416 8.744 1.443
8.744 2.009 1.443
```

Properties
electronic total energy: -6.57 eV/atom
D(E_F): 6.515 states/eV/f.u.
formation enthalpy at 0 K: -0.1404 eV per atom

# 14
This record from Alexandria via LeMat-Bulk describes a relaxed structure of K3CuB. The functional is PBE.

Cell and atoms, written as POSCAR:
```
K3CuB
1.0
5.873 0.000 0.000
0.000 5.873 0.000
0.000 0.000 5.873
K Cu B
3 1 1
Cartesian
0.000 0.000 2.937
0.000 2.937 0.000
2.937 0.000 0.000
2.937 2.937 2.937
0.000 0.000 0.000
```

Properties
electronic total energy: -1.78 eV/atom
D(E_F): 5.227 states/eV/f.u.
formation enthalpy at 0 K: 1.0299 eV per atom

# 15
This record from Alexandria via LeMat-Bulk describes a relaxed structure of KCuB2. The functional is PBE.

Cell and atoms, written as POSCAR:
```
KCuB2
1.0
0.000 3.049 3.049
3.049 0.000 3.049
3.049 3.049 0.000
K Cu B
1 1 2
Cartesian
0.000 0.000 0.000
3.049 3.049 3.049
1.525 1.525 1.525
4.574 4.574 4.574
```

Properties
electronic total energy: -2.78 eV/atom
D(E_F): 1.637 states/eV/f.u.
formation enthalpy at 0 K: 1.8597 eV per atom

# 16
This record from Alexandria via LeMat-Bulk describes a relaxed structure of KCuB3. The functional is PBE.

Cell and atoms, written as POSCAR:
```
KCuB3
1.0
4.112 0.000 0.000
0.000 4.112 0.000
0.000 0.000 4.112
K Cu B
1 1 3
Cartesian
0.000 0.000 0.000
2.056 2.056 2.056
0.000 2.056 2.056
2.056 0.000 2.056
2.056 2.056 0.000
```

Properties
electronic total energy: -3.45 eV/atom
D(E_F): 2.816 states/eV/f.u.
formation enthalpy at 0 K: 1.5959 eV per atom

# 17
This record from Alexandria via LeMat-Bulk describes a relaxed structure of KCuB2. The functional is PBE.

Cell and atoms, written as POSCAR:
```
KCuB2
1.0
-2.476 2.476 5.886
2.476 -2.476 5.886
2.476 2.476 -5.886
K Cu B
2 2 4
Cartesian
2.476 1.238 1.471
0.000 1.238 4.414
2.476 -1.238 4.414
0.000 3.714 1.471
0.000 0.000 0.000
1.238 1.238 -2.943
1.238 -1.238 2.943
0.000 2.476 0.000
```

Properties
electronic total energy: -3.68 eV/atom
D(E_F): 0.607 states/eV/f.u.
formation enthalpy at 0 K: 0.9620 eV per atom

# 18
This record from Alexandria via LeMat-Bulk describes a relaxed structure of KCuB3. The functional is PBE.

Cell and atoms, written as POSCAR:
```
KCuB3
1.0
4.835 0.000 0.000
0.000 4.835 0.000
0.000 0.000 4.835
K Cu B
1 1 3
Cartesian
0.000 0.000 0.000
2.417 2.417 2.417
0.000 0.000 2.417
0.000 2.417 0.000
2.417 0.000 0.000
```

Properties
electronic total energy: -1.53 eV/atom
D(E_F): 4.515 states/eV/f.u.
formation enthalpy at 0 K: 3.5147 eV per atom

# 19
This record from Alexandria via LeMat-Bulk describes a relaxed structure of KCu2B. The functional is PBE.

Cell and atoms, written as POSCAR:
```
KCu2B
1.0
-2.607 2.607 6.010
2.607 -2.607 6.010
2.607 2.607 -6.010
K Cu B
2 4 2
Cartesian
2.607 1.304 1.502
0.000 1.304 4.507
0.000 0.000 0.000
1.304 1.304 -3.005
1.304 -1.304 3.005
0.000 2.607 0.000
2.607 -1.304 4.507
0.000 3.911 1.502
```

Properties
electronic total energy: -3.54 eV/atom
D(E_F): 0.583 states/eV/f.u.
formation enthalpy at 0 K: 0.4564 eV per atom

# 20
This record from Alexandria via LeMat-Bulk describes a relaxed structure of KCuB2Pb. The functional is PBE.

Cell and atoms, written as POSCAR:
```
KCuB2Pb
1.0
4.249 0.000 0.000
0.000 4.249 0.000
0.000 0.000 5.453
K Cu B Pb
1 1 2 1
Cartesian
0.000 0.000 0.000
2.124 2.124 2.727
0.000 2.124 2.727
2.124 0.000 2.727
2.124 2.124 0.000
```

Properties
electronic total energy: -3.19 eV/atom
D(E_F): 2.495 states/eV/f.u.
formation enthalpy at 0 K: 1.2663 eV per atom